Here is BaLiTbS3 after structural relaxation from the Open Quantum Materials Database. Energies are from GGA-PBE.

Summary:
**Volume**: 25.074 Å³/atom
**Total magnetic moment**: 0.00 μB per cell
**Crystal system**: monoclinic
**E_tot**: -64.86 eV per cell

Unit cell a=8.5406 b=4.0926 c=8.9130 alpha=90.00 beta=105.02 gamma=90.00
Space group P2_1/m (No. 11)
Symmetry-distinct sites (fractional):
Ba 0.1942 0.2500 0.2432 x2
Li 0.0864 0.2500 0.5917 x2
Tb 0.3290 0.7500 0.8395 x2
S 0.1180 0.2500 0.8664 x2
S 0.2039 0.7500 0.5249 x2
S 0.4494 0.7500 0.1614 x2

***

Here is BaLiTbS3 after structural relaxation from the Open Quantum Materials Database. Energies are from GGA-PBE.

Summary:
**Volume**: 24.024 Å³/atom
**Total magnetic moment**: 0.01 μB per cell
**Crystal system**: orthorhombic
**E_tot**: -130.19 eV per cell

Unit cell a=10.3588 b=4.1110 c=13.5391 alpha=90.00 beta=90.00 gamma=90.00
Space group Pnma (No. 62)
Symmetry-distinct sites (fractional):
Ba 0.2462 0.2500 0.0051 x4
Li 0.2449 0.7500 0.7792 x4
Tb 0.0049 0.7500 0.2509 x4
S 0.0564 0.7500 0.8803 x4
S 0.0669 0.2500 0.3810 x4
S 0.2456 0.2500 0.6837 x4

***

Here is BaLiTmS3 after structural relaxation from the Open Quantum Materials Database. Energies are from GGA-PBE.

Summary:
**Volume**: 23.290 Å³/atom
**Total magnetic moment**: 0.04 μB per cell
**Crystal system**: orthorhombic
**E_tot**: -129.62 eV per cell

Unit cell a=4.0638 b=13.5126 c=10.1790 alpha=90.00 beta=90.00 gamma=90.00
Space group Cmcm (No. 63)
Symmetry-distinct sites (fractional):
Ba 0.0000 0.2443 0.2500 x4
Li 0.0000 0.0302 0.7500 x4
Tm 0.0000 0.5000 0.0000 x4
S 0.0000 0.1295 0.5578 x8
S 0.0000 0.4358 0.7500 x4

***

Here is BaLiTmS3 after structural relaxation from the Open Quantum Materials Database. Energies are from GGA-PBE.

Summary:
**Volume**: 23.769 Å³/atom
**Total magnetic moment**: 0.01 μB per cell
**Crystal system**: monoclinic
**E_tot**: -129.19 eV per cell

Unit cell a=17.0374 b=4.0387 c=8.5374 alpha=90.00 beta=103.81 gamma=90.00
Space group C2/m (No. 12)
Symmetry-distinct sites (fractional):
Ba 0.1370 0.0000 0.0663 x4
Li 0.0059 0.5000 0.6981 x4
Tm 0.1640 0.0000 0.5801 x4
S 0.0000 0.0000 0.5000 x2
S 0.0000 0.5000 0.0000 x2
S 0.1690 0.5000 0.7928 x4
S 0.1701 0.5000 0.3679 x4

***

Here is BaLiTmS3 after structural relaxation from the Open Quantum Materials Database. Energies are from GGA-PBE.

Summary:
**Volume**: 24.380 Å³/atom
**Total magnetic moment**: 0.00 μB per cell
**Crystal system**: monoclinic
**E_tot**: -64.55 eV per cell

Unit cell a=8.4249 b=4.0567 c=8.9030 alpha=90.00 beta=105.95 gamma=90.00
Space group P2_1/m (No. 11)
Symmetry-distinct sites (fractional):
Ba 0.2005 0.2500 0.2470 x2
Li 0.0874 0.2500 0.5936 x2
Tm 0.3270 0.7500 0.8428 x2
S 0.1180 0.2500 0.8677 x2
S 0.2081 0.7500 0.5300 x2
S 0.4543 0.7500 0.1598 x2

***

Here is BaLiTmS3 after structural relaxation from the Open Quantum Materials Database. Energies are from GGA-PBE.

Summary:
**Volume**: 23.342 Å³/atom
**Total magnetic moment**: 0.02 μB per cell
**Crystal system**: orthorhombic
**E_tot**: -129.63 eV per cell

Unit cell a=10.1890 b=4.0673 c=13.5176 alpha=90.00 beta=90.00 gamma=90.00
Space group Pnma (No. 62)
Symmetry-distinct sites (fractional):
Ba 0.2490 0.2500 0.0055 x4
Li 0.2469 0.7500 0.7796 x4
Tm 0.0030 0.7500 0.2499 x4
S 0.0552 0.7500 0.8793 x4
S 0.0607 0.2500 0.3791 x4
S 0.2471 0.2500 0.6852 x4

***

Here is BaLiSmSe3 after structural relaxation from the Open Quantum Materials Database. Energies are from GGA-PBE.

Summary:
**Volume**: 27.717 Å³/atom
**Total magnetic moment**: 0.01 μB per cell
**Crystal system**: orthorhombic
**E_tot**: -119.86 eV per cell

Unit cell a=4.3093 b=14.1060 c=10.9434 alpha=90.00 beta=90.00 gamma=90.00
Space group Cmcm (No. 63)
Symmetry-distinct sites (fractional):
Ba 0.0000 0.2468 0.2500 x4
Li 0.0000 0.0290 0.7500 x4
Sm 0.0000 0.5000 0.0000 x4
Se 0.0000 0.1349 0.5630 x8
Se 0.0000 0.4299 0.7500 x4

***

Here is BaLiSmSe3 after structural relaxation from the Open Quantum Materials Database. Energies are from GGA-PBE.

Summary:
**Volume**: 28.283 Å³/atom
**Total magnetic moment**: 0.02 μB per cell
**Crystal system**: monoclinic
**E_tot**: -119.50 eV per cell

Unit cell a=18.1628 b=4.3000 c=8.9671 alpha=90.00 beta=104.25 gamma=90.00
Space group C2/m (No. 12)
Symmetry-distinct sites (fractional):
Ba 0.1350 0.0000 0.0654 x4
Li 0.0018 0.5000 0.6974 x4
Sm 0.1656 0.0000 0.5861 x4
Se 0.0000 0.0000 0.5000 x2
Se 0.0000 0.5000 0.0000 x2
Se 0.1667 0.5000 0.3611 x4
Se 0.1724 0.5000 0.8075 x4

***

Here is BaLiSmSe3 after structural relaxation from the Open Quantum Materials Database. Energies are from GGA-PBE.

Summary:
**Volume**: 27.774 Å³/atom
**Total magnetic moment**: 0.01 μB per cell
**Crystal system**: orthorhombic
**E_tot**: -119.86 eV per cell

Unit cell a=10.9560 b=4.3107 c=14.1140 alpha=90.00 beta=90.00 gamma=90.00
Space group Pnma (No. 62)
Symmetry-distinct sites (fractional):
Ba 0.2397 0.2500 0.0023 x4
Li 0.2410 0.7500 0.7773 x4
Sm 0.0093 0.7500 0.2530 x4
Se 0.0537 0.7500 0.8827 x4
Se 0.0743 0.2500 0.3857 x4
Se 0.2421 0.2500 0.6787 x4

***

Here is BaLiTmSe3 after structural relaxation from the Open Quantum Materials Database. Energies are from GGA-PBE.

Summary:
**Volume**: 26.319 Å³/atom
**Total magnetic moment**: 0.02 μB per cell
**Crystal system**: orthorhombic
**E_tot**: -118.84 eV per cell

Unit cell a=10.6256 b=4.2333 c=14.0426 alpha=90.00 beta=90.00 gamma=90.00
Space group Pnma (No. 62)
Symmetry-distinct sites (fractional):
Ba 0.2488 0.2500 0.0037 x4
Li 0.2471 0.7500 0.7795 x4
Tm 0.0029 0.7500 0.2499 x4
Se 0.0540 0.7500 0.8821 x4
Se 0.0591 0.2500 0.3818 x4
Se 0.2472 0.2500 0.6822 x4

***

Here is BaLiTmSe3 after structural relaxation from the Open Quantum Materials Database. Energies are from GGA-PBE.

Summary:
**Volume**: 26.327 Å³/atom
**Total magnetic moment**: 0.04 μB per cell
**Crystal system**: orthorhombic
**E_tot**: -118.84 eV per cell

Unit cell a=4.2338 b=14.0460 c=10.6249 alpha=90.00 beta=90.00 gamma=90.00
Space group Cmcm (No. 63)
Symmetry-distinct sites (fractional):
Ba 0.0000 0.2460 0.2500 x4
Li 0.0000 0.0296 0.7500 x4
Tm 0.0000 0.5000 0.0000 x4
Se 0.0000 0.1320 0.5565 x8
Se 0.0000 0.4323 0.7500 x4

***

Here is BaLiTmSe3 after structural relaxation from the Open Quantum Materials Database. Energies are from GGA-PBE.

Summary:
**Volume**: 26.966 Å³/atom
**Total magnetic moment**: 0.01 μB per cell
**Crystal system**: monoclinic
**E_tot**: -118.39 eV per cell

Unit cell a=17.8186 b=4.2119 c=8.8827 alpha=90.00 beta=103.87 gamma=90.00
Space group C2/m (No. 12)
Symmetry-distinct sites (fractional):
Ba 0.1368 0.0000 0.0664 x4
Li 0.0065 0.5000 0.6985 x4
Tm 0.1646 0.0000 0.5810 x4
Se 0.0000 0.0000 0.5000 x2
Se 0.0000 0.5000 0.0000 x2
Se 0.1695 0.5000 0.3655 x4
Se 0.1702 0.5000 0.7967 x4

***

What did the fifth record say?
Here is BaLiTmS3 after structural relaxation from the Open Quantum Materials Database. Energies are from GGA-PBE.

Summary:
**Volume**: 24.380 Å³/atom
**Total magnetic moment**: 0.00 μB per cell
**Crystal system**: monoclinic
**E_tot**: -64.55 eV per cell

Unit cell a=8.4249 b=4.0567 c=8.9030 alpha=90.00 beta=105.95 gamma=90.00
Space group P2_1/m (No. 11)
Symmetry-distinct sites (fractional):
Ba 0.2005 0.2500 0.2470 x2
Li 0.0874 0.2500 0.5936 x2
Tm 0.3270 0.7500 0.8428 x2
S 0.1180 0.2500 0.8677 x2
S 0.2081 0.7500 0.5300 x2
S 0.4543 0.7500 0.1598 x2